# 1
The following is a PBE-GGA calculation of a relaxed structure of ScTaTl2, from the Alexandria database.

a = 3.1216 Å, b = 3.1216 Å, c = 9.7014 Å
α = 90.00°, β = 90.00°, γ = 94.07°
Last column: nearest neighbours and their distance in Å.
Element x y z (fractional)
Sc (0.0000, 0.0000, 0.5243)  4 Ta 2.94-3.05, 4 Sc 3.12
Tl (0.5000, 0.5000, 0.2629)  6 Tl 3.12-3.48, 4 Sc 3.31-3.41
Tl (0.0000, 0.0000, 0.9795)  6 Tl 3.12-3.48, 4 Ta 3.20-3.31
Ta (0.5000, 0.5000, 0.7333)  4 Sc 2.94-3.05, 4 Ta 3.12, 2 Tl 3.20

Properties
The calculation puts the raw total energy at -21.97 eV per cell. The value obtained for the formation energy from the elements is 92 kJ/mol of formula units. The spin magnetization is 0.000 μB/f.u.


# 2
The following is a PBE-GGA calculation of a relaxed structure of ScTaTl2, from the Alexandria database.

a = 5.2837 Å, b = 5.2837 Å, c = 5.7057 Å
α = 81.65°, β = 81.65°, γ = 34.43°
Last column: nearest neighbours and their distance in Å.
Element x y z (fractional)
Sc (0.7500, 0.7500, 0.7500)  6 Tl 3.08-3.15, 2 Sc 3.13, 4 Ta 3.25
Tl (0.5024, 0.5024, 0.4928)  3 Ta 3.08-3.09, 3 Sc 3.08-3.15, 6 Tl 3.13-3.32
Tl (0.9976, 0.9976, 0.0072)  3 Ta 3.08-3.09, 3 Sc 3.08-3.15, 6 Tl 3.13-3.32
Ta (0.2500, 0.2500, 0.2500)  6 Tl 3.08-3.09, 2 Ta 3.13, 4 Sc 3.25

Properties
The calculation puts the raw total energy at -21.88 eV per cell. The value obtained for the formation energy from the elements is 100 kJ/mol of formula units. The spin magnetization is 0.002 μB/f.u.


# 3
The following is a PBE-GGA calculation of a relaxed structure of ScTa2Tl, from the Alexandria database.

a = 3.6638 Å, b = 3.6638 Å, c = 6.0099 Å
α = 90.00°, β = 90.00°, γ = 90.00°
Last column: nearest neighbours and their distance in Å.
Element x y z (fractional)
Ta (0.0000, 0.0000, 0.5102)  2 Ta 2.88-3.13, 4 Sc 2.96, 4 Tl 3.03
Ta (0.0000, 0.0000, 0.9898)  2 Ta 2.88-3.13, 4 Sc 2.96, 4 Tl 3.03
Sc (0.5000, 0.5000, 0.7500)  8 Ta 2.96, 2 Tl 3.00
Tl (0.5000, 0.5000, 0.2500)  2 Sc 3.00, 8 Ta 3.03

Properties
The calculation puts the raw total energy at -30.60 eV per cell. The value obtained for the formation energy from the elements is 174 kJ/mol of formula units. The spin magnetization is 0.000 μB/f.u.


# 4
The following is a PBE-GGA calculation of a relaxed structure of ScTaTl2W, from the Alexandria database.

a = 5.3090 Å, b = 4.8526 Å, c = 5.3090 Å
α = 90.00°, β = 90.00°, γ = 90.00°
Last column: nearest neighbours and their distance in Å.
Element x y z (fractional)
Tl (0.0000, 0.0000, 0.5000)  2 W 2.65
Tl (0.5000, 0.0000, 0.0000)  2 W 2.65
W (0.0000, 0.0000, 0.0000)  2 Ta 2.43, 4 Tl 2.65
Sc (0.5000, 0.5000, 0.5000)  8 Tl 3.60, 4 Ta 3.75
Ta (0.0000, 0.5000, 0.0000)  2 W 2.43

Properties
The calculation puts the raw total energy at -30.25 eV per cell. The value obtained for the formation energy from the elements is 542 kJ/mol of formula units. The spin magnetization is 0.000 μB/f.u.


# 5
The following is a PBE-GGA calculation of a relaxed structure of ZrScTa2Tl, from the Alexandria database.

a = 4.9802 Å, b = 5.2091 Å, c = 4.9802 Å
α = 90.00°, β = 90.00°, γ = 90.00°
Last column: nearest neighbours and their distance in Å.
Element x y z (fractional)
Ta (0.5000, 0.0000, 0.0000)  2 Zr 2.49
Ta (0.0000, 0.0000, 0.5000)  2 Zr 2.49
Sc (0.0000, 0.5000, 0.0000)  2 Zr 2.60
Tl (0.5000, 0.5000, 0.5000)  4 Sc 3.52, 8 Ta 3.60
Zr (0.0000, 0.0000, 0.0000)  4 Ta 2.49, 2 Sc 2.60

Properties
The calculation puts the raw total energy at -33.57 eV per cell. The value obtained for the formation energy from the elements is 712 kJ/mol of formula units. The spin magnetization is 0.000 μB/f.u.


# 6
The following is a PBE-GGA calculation of a relaxed structure of TmSc2Ta, from the Alexandria database.

a = 3.6792 Å, b = 3.6792 Å, c = 6.9369 Å
α = 90.00°, β = 90.00°, γ = 90.00°
Last column: nearest neighbours and their distance in Å.
Element x y z (fractional)
Sc (0.0000, 0.0000, 0.7903)  1 Sc 2.91, 4 Ta 2.98
Sc (0.0000, 0.0000, 0.2097)  1 Sc 2.91, 4 Ta 2.98
Ta (0.5000, 0.5000, 0.0000)  8 Sc 2.98
Tm (0.5000, 0.5000, 0.5000)  8 Sc 3.29, 2 Ta 3.47, 4 Tm 3.68

Properties
The calculation puts the raw total energy at -28.12 eV per cell. The value obtained for the formation energy from the elements is 84 kJ/mol of formula units. The spin magnetization is 0.000 μB/f.u.